DFT (PBE+U) results for a relaxed KFeTeO2 crystal.

Cell: 4.216 4.216 5.888 Å, 90.00 90.00 90.00°
Space group P4/mmm (No. 123)
Asymmetric unit:
K  0.000  0.000  0.000
Fe  0.000  0.000  0.500
Te  0.500  0.500  0.000
O  0.000  0.500  0.500

## Properties
calculated density	4.04	Mg/m³
DOS at the Fermi energy	3.63	states/eV per cell
total DFT energy (no corrections)	-0.28903	Ry per atom

DFT (PBE+U) results for a relaxed Mg6VSiO8 crystal.

Cell: 4.335 4.335 8.686 Å, 90.00 90.00 90.00°
Space group P4/mmm (No. 123)
Asymmetric unit:
Mg  0.000  0.000  0.000
Mg  0.000  0.500  0.245
Mg  0.500  0.500  0.000
V  0.000  0.000  0.500
Si  0.500  0.500  0.500
O  0.000  0.000  0.245
O  0.000  0.500  0.000
O  0.000  0.500  0.500
O  0.500  0.500  0.238

## Properties
distance to the lowest polymorph of the same formula	0.000	eV per atom
calculated density	3.59	Mg/m³

| no. | magnetization (μB per formula unit) |
| --- | --- |
| 1 | 1.1 |
| 2 | 3.0 |